This record from the Alexandria database describes an optimized crystal structure of Tb2SmZn. The functional is PBE.

abc: 3.6202 3.6202 30.9553
angles: 90.00 90.00 120.00
Space group R3m (No. 160, hexagonal axes)
One atom of each set of equivalent atoms:
Tb  0.0000  0.0000  0.0000
Tb  0.0000  0.0000  0.1910
Sm  0.0000  0.0000  0.7618
Zn  0.0000  0.0000  0.5958

Distance to the lowest polymorph of the same formula = 111 meV per atom